Record 1
{"formula": "VSbTe2Mo", "functional": "PBE-GGA", "state": "optimized geometry", "spacegroup": "P4/mmm, No. 123", "e_form_raw_mev_per_atom": 903, "total_magnetization_mub_per_atom": 1.010, "cell": [[-4.1364, 1.6926, 2.6522], [-2.9507, -0.5662, -4.2405], [-1.0791, -4.8226, 1.3948]], "species": ["V", "Mo", "Te", "Sb", "Te"], "frac_coords": [[0.0000, 0.0000, 0.0000], [0.5000, 0.5000, 0.5000], [0.5000, 0.0000, 0.0000], [0.0000, 0.0000, 0.5000], [0.0000, 0.5000, 0.0000]]}



Record 2
{"formula": "Pu3PdAu4", "functional": "PBE-GGA", "state": "optimized geometry", "spacegroup": "C2/m, No. 12", "formation_energy_ev_per_atom": -0.3633, "total_magnetization_mub_per_atom": 0.763, "cell": [[4.5293, 0.0000, 0.0000], [0.0000, 4.3774, -1.1738], [-2.2646, -4.3703, 9.9718]], "species": ["Pu", "Pu", "Au", "Au", "Pd", "Au", "Pu", "Au"], "frac_coords": [[0.2514, 0.2546, 0.5029], [0.0000, 0.5000, 0.0000], [0.3784, 0.1365, 0.7569], [0.1217, 0.3650, 0.2434], [0.5000, 0.0000, 0.0000], [0.6216, 0.8635, 0.2431], [0.7486, 0.7454, 0.4971], [0.8783, 0.6350, 0.7566]]}



Record 3
{"formula": "Ce5Pt2Au2", "functional": "PBE-GGA", "state": "optimized geometry", "spacegroup": "Cmce, No. 64", "formation_energy_ev_per_atom": -0.7270, "total_magnetization_mub_per_atom": 0.491, "cell": [[7.2294, 0.0000, 2.6242], [0.0000, 7.8014, 0.0000], [0.9658, 0.0000, 8.6096]], "species": ["Au", "Ce", "Ce", "Pt", "Pt", "Ce", "Ce", "Au", "Ce", "Ce", "Pt", "Ce", "Ce", "Ce", "Au", "Au", "Ce", "Pt"], "frac_coords": [[0.2096, 0.0000, 0.5808], [0.0000, 0.0000, 0.0000], [0.0402, 0.6669, 0.2640], [0.6329, 0.1330, 0.0000], [0.8671, 0.6330, 0.0000], [0.9598, 0.3331, 0.7360], [0.8042, 0.8331, 0.7360], [0.2904, 0.5000, 0.4192], [0.5000, 0.5000, 0.0000], [0.5402, 0.8331, 0.2640], [0.1329, 0.3670, 0.0000], [0.3042, 0.6669, 0.7360], [0.4598, 0.1669, 0.7360], [0.6958, 0.3331, 0.2640], [0.7096, 0.5000, 0.5808], [0.7904, 0.0000, 0.4192], [0.1958, 0.1669, 0.2640], [0.3671, 0.8670, 0.0000]]}



Record 4
{"formula": "CaDyHgPd", "functional": "PBE-GGA", "state": "optimized geometry", "spacegroup": "F-43m, No. 216", "formation_energy_ev_per_atom": -0.6042, "total_magnetization_mub_per_atom": 0.000, "cell": [[5.1241, 0.0000, 0.0000], [2.5621, 4.4376, 0.0000], [2.5621, 1.4792, 4.1838]], "species": ["Hg", "Dy", "Ca", "Pd"], "frac_coords": [[0.5000, 0.5000, 0.5000], [0.2500, 0.2500, 0.2500], [0.7500, 0.7500, 0.7500], [0.0000, 0.0000, 0.0000]]}